Entry 1:
First-principles (PBE) data for a relaxed structure of Ba2MgSc, as listed in the Alexandria database.

- calculated total energy (eV per cell) = -10.843
- energy of formation (eV/atom) = 0.23
- volume (Å³ per cell) = 162.4

a b c (Å): 5.722 3.975 7.405
angles (deg): 74.67 90.00 90.00
Site moments in Bohr magnetons follow the coordinates.
Fractional positions:
Ba: 0.500 0.284 0.300  0.03
Ba: 0.000 0.967 0.947  0.03
Sc: 0.500 0.571 0.738  0.19
Mg: 0.000 0.678 0.516  0.00

***

Entry 2:
First-principles (PBE) data for a relaxed structure of AlGe2PdC, as listed in the Alexandria database.

- calculated total energy (eV per cell) = -22.141
- energy of formation (eV/atom) = 1.05
- volume (Å³ per cell) = 91.5

a b c (Å): 4.992 3.673 4.992
angles (deg): 90.00 90.00 90.00
Fractional positions:
Ge: 0.000 0.000 0.500
Ge: 0.500 0.000 0.000
C: 0.000 0.500 0.000
Al: 0.000 0.000 0.000
Pd: 0.500 0.500 0.500

***

Entry 3:
First-principles (PBE) data for a relaxed structure of AgBiIrOs2, as listed in the Alexandria database.

- calculated total energy (eV per cell) = -23.587
- energy of formation (eV/atom) = 2.89
- volume (Å³ per cell) = 121.2

a b c (Å): 4.930 4.988 4.930
angles (deg): 90.00 90.00 90.00
Site moments in Bohr magnetons follow the coordinates.
Fractional positions:
Ag: 0.000 0.500 0.000  0.00
Ir: 0.500 0.500 0.500  0.91
Bi: 0.000 0.000 0.000  -0.01
Os: 0.500 0.000 0.000  0.41
Os: 0.000 0.000 0.500  0.27